Density functional theory data (GGA-PBE) for crystalline BaTbAlS3 at its relaxed geometry.

POSCAR file:
```
BaTbAlS3
1.0
2.1048 -6.7069 0.0000
2.1048 6.7069 0.0000
0.0000 0.0000 10.4640
Al Ba S Tb
2 2 6 2
Cartesian
2.1048 -6.3308 2.6160
2.1048 6.3308 7.8480
2.1048 3.6250 2.6160
2.1048 -3.6250 7.8480
2.1048 -4.8854 0.8055
2.1048 -0.6984 2.6160
2.1048 -4.8854 4.4265
2.1048 4.8854 6.0374
2.1048 0.6984 7.8480
2.1048 4.8854 9.6585
2.1048 0.0000 0.0000
2.1048 0.0000 5.2320
```

- symmetry = Cmcm (63)
- raw total energy (eV/f.u.) = -31.4

=====

Density functional theory data (GGA-PBE) for crystalline Ba2AlWS6 at its relaxed geometry.

POSCAR file:
```
Ba2AlWS6
1.0
5.8731 -3.3790 0.0000
5.8731 3.3790 0.0000
-4.0512 0.0000 5.5999
Al Ba S W
1 2 6 1
Cartesian
0.0000 0.0000 0.0000
7.7825 0.0000 1.3904
-0.0876 0.0000 4.2095
2.1192 0.0000 1.1077
5.0589 -1.6990 1.5613
5.0589 1.6990 1.5613
2.6360 -1.6990 4.0386
2.6360 1.6990 4.0386
5.5757 0.0000 4.4922
3.8474 0.0000 2.8000
```

- energy above the most stable polymorph in this dataset (meV/atom) = 0
- symmetry = C2/m (12)
- raw total energy (eV/f.u.) = -56.8

=====

Density functional theory data (GGA-PBE) for crystalline Ba2AlWS6 at its relaxed geometry.

POSCAR file:
```
Ba2AlWS6
1.0
5.8794 -3.3945 0.0000
5.8794 3.3945 0.0000
-3.9196 0.0000 5.5432
Al Ba S W
1 2 6 1
Cartesian
3.9196 0.0000 2.7716
7.8392 0.0000 1.3858
0.0000 0.0000 4.1574
4.8973 -1.6934 1.3889
4.8973 1.6934 1.3889
1.9643 0.0000 1.3889
5.8750 0.0000 4.1542
2.9419 -1.6934 4.1542
2.9419 1.6934 4.1542
0.0000 0.0000 0.0000
```

- energy above the most stable polymorph in this dataset (meV/atom) = 9
- symmetry = Fm-3m (225)
- raw total energy (eV/f.u.) = -56.7

=====

Density functional theory data (GGA-PBE) for crystalline BaSmAl at its relaxed geometry.

POSCAR file:
```
BaSmAl
1.0
-1.3703 2.4174 4.7262
0.5760 5.4219 0.5738
-4.4328 3.2165 0.2495
Al Ba Sm
1 1 1
Cartesian
0.0000 0.0000 0.0000
-1.3068 2.7639 1.3874
-3.9203 8.2918 4.1621
```

- energy above the most stable polymorph in this dataset (meV/atom) = 0
- symmetry = F-43m (216)
- raw total energy (eV/f.u.) = -9.9